Material: CaLa2As3
Method: DFT, PBE-GGA
State: optimized geometry

Lattice parameters (Å, degrees): 4.3690 4.3690 10.5348 90.00 90.00 120.00
Sites, in units of the cell vectors:
La (0.6667, 0.3333, 0.3261)
La (0.3333, 0.6667, 0.6739)
As (0.0000, 0.0000, 0.5000)
As (0.3333, 0.6667, 0.1673)
As (0.6667, 0.3333, 0.8327)
Ca (0.0000, 0.0000, 0.0000)

Energy   -33.72 eV/cell
SG   P-3m1
ΔE_f   -1319 meV/atom

=====

Material: ScCd2Cl
Method: DFT, PBE-GGA
State: optimized geometry

Lattice parameters (Å, degrees): 5.0061 5.0061 5.0061 60.00 60.00 60.00
Sites, in units of the cell vectors:
Cd (0.2500, 0.2500, 0.2500)
Cd (0.0000, 0.0000, 0.0000)
Cl (0.5000, 0.5000, 0.5000)
Sc (0.7500, 0.7500, 0.7500)

Energy   -10.84 eV/cell
SG   F-43m
Raw formation energy   -208 meV/atom

=====

Material: Sc3ZnN
Method: DFT, PBE-GGA
State: optimized geometry

Lattice parameters (Å, degrees): 5.4095 7.5777 5.4096 62.55 73.20 62.69
Sites, in units of the cell vectors:
Zn (0.3505, 0.7265, 0.5844)
Zn (0.8499, 0.7265, 0.0849)
Sc (0.7237, 0.9784, 0.4589)
Sc (0.1002, 0.2265, 0.3345)
Sc (0.2235, 0.9784, 0.9588)
Sc (0.6002, 0.2265, 0.8345)
Sc (0.9768, 0.4745, 0.7102)
Sc (0.4767, 0.4745, 0.2100)
N (0.3502, 0.2265, 0.5845)
N (0.8502, 0.2265, 0.0845)

Energy   -65.75 eV/cell
SG   P2/m
Raw formation energy   -856 meV/atom

=====

Material: Ac7Y
Method: DFT, PBE-GGA
State: optimized geometry

Lattice parameters (Å, degrees): 7.8907 7.8907 7.8907 60.00 60.00 60.00
Sites, in units of the cell vectors:
Ac (0.5000, 0.5000, 0.0000)
Ac (0.0000, 0.5000, 0.0000)
Ac (0.5000, 0.0000, 0.0000)
Ac (0.5000, 0.5000, 0.5000)
Ac (0.0000, 0.5000, 0.5000)
Ac (0.5000, 0.0000, 0.5000)
Ac (0.0000, 0.0000, 0.5000)
Y (0.0000, 0.0000, 0.0000)

Energy   -35.01 eV/cell
SG   Fm-3m
ΔE_f   27 meV/atom

=====

Material: EuB2S4
Method: DFT, PBE-GGA
State: optimized geometry

Lattice parameters (Å, degrees): 14.1376 6.1317 6.4447 70.66 90.00 90.00
Site moments in Bohr magnetons follow the coordinates.
Sites, in units of the cell vectors:
B (0.2728, 0.6719, 0.2718)  0.01
B (0.5834, 0.0748, 0.5321)  0.01
B (0.2272, 0.1719, 0.2718)  0.01
B (0.9166, 0.5748, 0.5321)  0.01
B (0.4166, 0.9252, 0.4679)  0.01
B (0.7272, 0.3281, 0.7282)  0.01
B (0.7728, 0.8281, 0.7282)  0.01
B (0.0834, 0.4252, 0.4679)  0.01
Eu (0.8961, 0.2035, 0.1895)  6.87
Eu (0.1039, 0.7965, 0.8105)  6.87
Eu (0.3961, 0.2965, 0.8105)  6.87
Eu (0.6039, 0.7035, 0.1895)  6.87
S (0.3036, 0.0545, 0.5309)  -0.01
S (0.2399, 0.9840, 0.0850)  -0.01
S (0.0064, 0.3643, 0.7355)  -0.01
S (0.6964, 0.9455, 0.4691)  -0.01
S (0.0986, 0.1598, 0.3763)  -0.02
S (0.5064, 0.1357, 0.2645)  -0.01
S (0.7399, 0.5160, 0.9150)  -0.01
S (0.9936, 0.6357, 0.2645)  -0.01
S (0.8036, 0.4455, 0.4691)  -0.01
S (0.4014, 0.6598, 0.3763)  -0.02
S (0.9014, 0.8402, 0.6237)  -0.02
S (0.2601, 0.4840, 0.0850)  -0.01
S (0.5986, 0.3402, 0.6237)  -0.02
S (0.1964, 0.5545, 0.5309)  -0.01
S (0.4936, 0.8643, 0.7355)  -0.01
S (0.7601, 0.0160, 0.9150)  -0.01

Energy   -186.39 eV/cell
SG   P2_1/c
Raw formation energy   -922 meV/atom

=====

Material: Cs3Ac3CeO8
Method: DFT, PBE-GGA
State: optimized geometry

Lattice parameters (Å, degrees): 7.6568 7.6564 8.3124 117.43 90.00 120.00
Sites, in units of the cell vectors:
O (0.7470, 0.9528, 0.6585)
O (0.2058, 0.9528, 0.6585)
O (0.2058, 0.4115, 0.6585)
O (0.2761, 0.5521, 0.3283)
O (0.2530, 0.0472, 0.3415)
O (0.7942, 0.5885, 0.3415)
O (0.7942, 0.0472, 0.3415)
O (0.7239, 0.4479, 0.6717)
Cs (0.5000, 0.5000, 0.0000)
Cs (0.0000, 0.5000, 0.0000)
Cs (0.0000, 0.0000, 0.0000)
Ac (0.5000, 0.5000, 0.5000)
Ac (0.0000, 0.5000, 0.5000)
Ac (0.5000, 0.0000, 0.5000)
Ce (0.0000, 0.0000, 0.5000)

Energy   -100.96 eV/cell
SG   R-3m
Raw formation energy   -2698 meV/atom

=====

Material: Ce8SiRu6
Method: DFT, PBE-GGA
State: optimized geometry

Lattice parameters (Å, degrees): 7.1582 7.1582 7.1582 90.41 90.41 90.41
Site moments in Bohr magnetons follow the coordinates.
Sites, in units of the cell vectors:
Ru (0.2428, 0.3967, 0.5818)  -0.05
Ru (0.4182, 0.7572, 0.6033)  -0.05
Ru (0.3967, 0.5818, 0.2428)  -0.05
Ru (0.6033, 0.4182, 0.7572)  -0.05
Ru (0.5818, 0.2428, 0.3967)  -0.05
Ru (0.7572, 0.6033, 0.4182)  -0.05
Ce (0.6323, 0.9350, 0.2744)  0.23
Ce (0.2744, 0.6323, 0.9350)  0.23
Ce (0.3677, 0.0650, 0.7256)  0.23
Ce (0.7715, 0.7715, 0.7715)  0.45
Ce (0.2285, 0.2285, 0.2285)  0.45
Ce (0.0650, 0.7256, 0.3677)  0.23
Ce (0.9350, 0.2744, 0.6323)  0.23
Ce (0.7256, 0.3677, 0.0650)  0.23
Si (0.0000, 0.0000, 0.0000)  -0.01

Energy   -112.20 eV/cell
SG   R-3
Raw formation energy   -243 meV/atom

=====

Material: InSnSbO6
Method: DFT, PBE-GGA
State: optimized geometry

Lattice parameters (Å, degrees): 5.3585 5.3585 8.9649 90.00 90.00 120.00
Sites, in units of the cell vectors:
O (0.6759, 0.6526, 0.1263)
O (0.6526, 0.9767, 0.8737)
O (0.3241, 0.9767, 0.6263)
O (0.9767, 0.6526, 0.3737)
O (0.9767, 0.3241, 0.1263)
O (0.0233, 0.3474, 0.6263)
O (0.3241, 0.3474, 0.8737)
O (0.3474, 0.3241, 0.3737)
O (0.6526, 0.6759, 0.6263)
O (0.3474, 0.0233, 0.1263)
O (0.0233, 0.6759, 0.8737)
O (0.6759, 0.0233, 0.3737)
Sn (0.0000, 0.0000, 0.0000)
Sn (0.0000, 0.0000, 0.5000)
In (0.3333, 0.6667, 0.2500)
In (0.6667, 0.3333, 0.7500)
Sb (0.3333, 0.6667, 0.7500)
Sb (0.6667, 0.3333, 0.2500)

Energy   -107.31 eV/cell
SG   P-31c
Raw formation energy   -1449 meV/atom

=====

Material: Ca6HgIr2
Method: DFT, PBE-GGA
State: optimized geometry

Lattice parameters (Å, degrees): 8.7358 8.7358 8.7358 102.15 113.80 112.70
Sites, in units of the cell vectors:
Ca (0.4698, 0.2885, 0.1813)
Ca (0.3247, 0.6646, 0.3399)
Ca (0.2054, 0.2468, 0.4522)
Ca (0.6753, 0.3354, 0.6601)
Ca (0.7946, 0.7532, 0.5478)
Ca (0.5302, 0.7115, 0.8187)
Ca (0.3247, 0.9848, 0.6601)
Ca (0.2054, 0.7532, 0.9586)
Ca (0.6753, 0.0152, 0.3399)
Ca (0.1072, 0.2885, 0.8187)
Ca (0.7946, 0.2468, 0.0414)
Ca (0.8928, 0.7115, 0.1813)
Ir (0.6921, 0.0000, 0.6921)
Ir (0.5000, 0.3784, 0.8784)
Ir (0.5000, 0.6216, 0.1216)
Ir (0.3080, 0.0000, 0.3080)
Hg (0.0000, 0.0000, 0.0000)
Hg (0.0000, 0.5000, 0.5000)

Energy   -66.58 eV/cell
SG   Immm
ΔE_f   -362 meV/atom

=====

Material: ScFeGe
Method: DFT, PBE-GGA
State: optimized geometry

Lattice parameters (Å, degrees): 3.9193 3.9193 6.9152 106.46 106.46 90.00
Site moments in Bohr magnetons follow the coordinates.
Sites, in units of the cell vectors:
Sc (0.6477, 0.6477, 0.2954)  -0.10
Sc (0.3523, 0.3523, 0.7046)  -0.10
Ge (0.8824, 0.8824, 0.7647)  -0.03
Ge (0.1176, 0.1176, 0.2353)  -0.03
Fe (0.0000, 0.5000, 0.0000)  0.52
Fe (0.5000, 0.0000, 0.0000)  0.52

Energy   -42.22 eV/cell
SG   I4/mmm
ΔE_f   -566 meV/atom

=====

Material: HoErIr2
Method: DFT, PBE-GGA
State: optimized geometry

Lattice parameters (Å, degrees): 4.8145 4.8145 4.8145 60.00 60.00 60.00
Sites, in units of the cell vectors:
Ir (0.7500, 0.7500, 0.7500)
Ir (0.2500, 0.2500, 0.2500)
Er (0.5000, 0.5000, 0.5000)
Ho (0.0000, 0.0000, 0.0000)

Energy   -30.31 eV/cell
SG   Fm-3m
ΔE_f   -862 meV/atom

=====

Material: Ca2ErPaSb4
Method: DFT, PBE-GGA
State: optimized geometry

Lattice parameters (Å, degrees): 4.4655 7.6378 7.7468 109.27 90.00 90.00
Site moments in Bohr magnetons follow the coordinates.
Sites, in units of the cell vectors:
Pa (0.0000, 0.0000, 0.0000)  -0.13
Ca (0.0000, 0.5000, 0.5000)  0.00
Ca (0.5000, 0.0000, 0.5000)  0.00
Sb (0.5000, 0.2417, 0.2342)  0.01
Sb (0.0000, 0.2505, 0.7655)  0.00
Sb (0.5000, 0.7583, 0.7658)  0.01
Sb (0.0000, 0.7495, 0.2345)  0.00
Er (0.5000, 0.5000, 0.0000)  0.00

Energy   -41.68 eV/cell
SG   P2/m
Raw formation energy   -891 meV/atom